{"formula": "V4FeSi3", "functional": "PBE", "state": "optimized geometry", "dos_at_fermi_per_ev_fu": 6.29, "e_form_raw_ev_per_atom": -0.555, "lattice_angstrom": [[-4.636, 4.636, 2.353], [4.636, -4.636, 2.353], [4.636, 4.636, -2.353]], "species": ["V", "V", "V", "V", "V", "V", "V", "V", "Fe", "Fe", "Si", "Si", "Si", "Si", "Si", "Si"], "fractional_positions": [[0.081, 0.778, 0.859], [0.222, 0.081, 0.303], [0.278, 0.581, 0.859], [0.419, 0.278, 0.697], [0.581, 0.722, 0.303], [0.722, 0.419, 0.141], [0.778, 0.919, 0.697], [0.919, 0.222, 0.141], [0.250, 0.750, 0.500], [0.750, 0.250, 0.500], [0.158, 0.342, 0.500], [0.250, 0.250, 0.000], [0.342, 0.842, 0.185], [0.658, 0.158, 0.815], [0.750, 0.750, 0.000], [0.842, 0.658, 0.500]]}

---

{"formula": "V2FeSi", "functional": "PBE", "state": "optimized geometry", "dos_at_fermi_per_ev_fu": 4.50, "e_form_raw_ev_per_atom": -0.334, "lattice_angstrom": [[3.583, 0.000, 0.000], [0.000, 3.583, 0.000], [0.000, 0.000, 3.838]], "species": ["V", "V", "Fe", "Si"], "fractional_positions": [[0.000, 0.500, 0.000], [0.500, 0.000, 0.000], [0.000, 0.000, 0.500], [0.500, 0.500, 0.500]]}

---

{"formula": "VFe3Si2", "functional": "PBE", "state": "optimized geometry", "dos_at_fermi_per_ev_fu": 4.61, "e_form_raw_ev_per_atom": -0.483, "lattice_angstrom": [[3.946, 0.000, 0.000], [-1.973, 3.418, 0.000], [0.000, 0.000, 9.698]], "species": ["V", "V", "Fe", "Fe", "Fe", "Fe", "Fe", "Fe", "Si", "Si", "Si", "Si"], "fractional_positions": [[0.333, 0.667, 0.169], [0.667, 0.333, 0.831], [0.000, 0.000, 0.257], [0.000, 0.000, 0.743], [0.333, 0.667, 0.422], [0.333, 0.667, 0.917], [0.667, 0.333, 0.083], [0.667, 0.333, 0.578], [0.000, 0.000, 0.000], [0.000, 0.000, 0.500], [0.333, 0.667, 0.669], [0.667, 0.333, 0.331]]}

---

{"formula": "V2Fe4Si", "functional": "PBE", "state": "optimized geometry", "dos_at_fermi_per_ev_fu": 7.32, "e_form_raw_ev_per_atom": 0.684, "lattice_angstrom": [[-2.031, 2.031, 6.030], [2.031, -2.031, 6.030], [2.031, 2.031, -6.030]], "species": ["V", "V", "Fe", "Fe", "Fe", "Fe", "Si"], "fractional_positions": [[0.131, 0.131, 0.000], [0.869, 0.869, 0.000], [0.000, 0.500, 0.500], [0.309, 0.309, 0.000], [0.500, 0.000, 0.500], [0.691, 0.691, 0.000], [0.500, 0.500, 0.000]]}

---

{"formula": "FeSi2W", "functional": "PBE", "state": "optimized geometry", "dos_at_fermi_per_ev_fu": 3.53, "e_form_raw_ev_per_atom": 0.113, "lattice_angstrom": [[2.692, 0.000, 0.000], [0.000, 2.692, 0.000], [0.000, 0.000, 7.526]], "species": ["Fe", "Si", "Si", "W"], "fractional_positions": [[0.000, 0.000, 0.000], [0.000, 0.000, 0.501], [0.500, 0.500, 0.191], [0.500, 0.500, 0.766]]}

---

{"formula": "FeSi2W", "functional": "PBE", "state": "optimized geometry", "dos_at_fermi_per_ev_fu": 2.29, "e_form_raw_ev_per_atom": -0.128, "lattice_angstrom": [[-1.583, 1.738, 4.916], [1.583, -1.738, 4.916], [1.583, 1.738, -4.916]], "species": ["Fe", "Si", "Si", "W"], "fractional_positions": [[0.000, 0.000, 0.000], [0.175, 0.675, 0.500], [0.450, 0.450, 0.000], [0.758, 0.258, 0.500]]}

---

{"formula": "FeSi2W", "functional": "PBE", "state": "optimized geometry", "dos_at_fermi_per_ev_fu": 2.95, "e_form_raw_ev_per_atom": -0.049, "lattice_angstrom": [[3.888, -1.364, 0.000], [3.888, 1.364, 0.000], [-0.968, 0.000, 4.899]], "species": ["Fe", "Si", "Si", "W"], "fractional_positions": [[0.000, 0.000, 0.000], [0.259, 0.259, 0.790], [0.741, 0.741, 0.210], [0.500, 0.500, 0.500]]}

---

{"formula": "FeSiW2", "functional": "PBE", "state": "optimized geometry", "dos_at_fermi_per_ev_fu": 2.51, "e_form_raw_ev_per_atom": 0.037, "lattice_angstrom": [[-1.869, 1.869, 3.973], [1.869, -1.869, 3.973], [1.869, 1.869, -3.973]], "species": ["Fe", "Si", "W", "W"], "fractional_positions": [[0.000, 0.000, 0.000], [0.500, 0.500, 0.000], [0.250, 0.750, 0.500], [0.750, 0.250, 0.500]]}

---

{"formula": "FeSiW2", "functional": "PBE", "state": "optimized geometry", "dos_at_fermi_per_ev_fu": 2.23, "e_form_raw_ev_per_atom": 0.043, "lattice_angstrom": [[3.131, 0.000, 0.000], [0.000, 4.114, 0.000], [0.000, 0.000, 4.295]], "species": ["Fe", "Si", "W", "W"], "fractional_positions": [[0.000, 0.000, 0.000], [0.500, 0.000, 0.500], [0.000, 0.500, 0.500], [0.500, 0.500, 0.000]]}

---

{"formula": "FeSi2W", "functional": "PBE", "state": "optimized geometry", "dos_at_fermi_per_ev_fu": 1.93, "e_form_raw_ev_per_atom": 0.070, "lattice_angstrom": [[1.415, 0.817, 7.798], [-1.415, 0.817, 7.798], [0.000, -1.634, 7.798]], "species": ["Fe", "Si", "Si", "W"], "fractional_positions": [[0.000, 0.000, 0.000], [0.491, 0.491, 0.491], [0.740, 0.740, 0.740], [0.246, 0.246, 0.246]]}

---

{"formula": "Fe4SiW", "functional": "PBE", "state": "optimized geometry", "dos_at_fermi_per_ev_fu": 5.58, "e_form_raw_ev_per_atom": -0.056, "lattice_angstrom": [[7.747, 0.000, 0.000], [0.000, 2.622, 0.000], [0.000, 0.000, 6.864]], "species": ["Fe", "Fe", "Fe", "Fe", "Fe", "Fe", "Fe", "Fe", "Si", "Si", "W", "W"], "fractional_positions": [[0.000, 0.000, 0.000], [0.022, 0.500, 0.316], [0.250, 0.500, 0.884], [0.478, 0.500, 0.316], [0.500, 0.000, 0.000], [0.522, 0.500, 0.684], [0.750, 0.500, 0.116], [0.978, 0.500, 0.684], [0.250, 0.000, 0.182], [0.750, 0.000, 0.818], [0.250, 0.000, 0.561], [0.750, 0.000, 0.439]]}

---

{"formula": "FeSi2W", "functional": "PBE", "state": "optimized geometry", "dos_at_fermi_per_ev_fu": 3.03, "e_form_raw_ev_per_atom": -0.106, "lattice_angstrom": [[2.796, 0.000, 0.000], [0.000, 3.751, 0.000], [0.000, 0.000, 5.014]], "species": ["Fe", "Si", "Si", "W"], "fractional_positions": [[0.000, 0.000, 0.000], [0.000, 0.500, 0.247], [0.000, 0.500, 0.753], [0.500, 0.000, 0.500]]}

---

{"formula": "FeSiW2", "functional": "PBE", "state": "optimized geometry", "dos_at_fermi_per_ev_fu": 4.03, "e_form_raw_ev_per_atom": 0.121, "lattice_angstrom": [[3.787, 0.000, 0.000], [0.000, 3.787, 0.000], [0.000, 0.000, 3.940]], "species": ["Fe", "Si", "W", "W"], "fractional_positions": [[0.000, 0.000, 0.000], [0.500, 0.500, 0.000], [0.000, 0.500, 0.500], [0.500, 0.000, 0.500]]}

---

{"formula": "FeSiW2", "functional": "PBE", "state": "optimized geometry", "dos_at_fermi_per_ev_fu": 3.14, "e_form_raw_ev_per_atom": 0.109, "lattice_angstrom": [[4.369, 0.000, 0.000], [0.000, 4.369, 0.000], [0.000, 0.000, 2.929]], "species": ["Fe", "Si", "W", "W"], "fractional_positions": [[0.000, 0.000, 0.000], [0.500, 0.500, 0.000], [0.000, 0.500, 0.500], [0.500, 0.000, 0.500]]}

---

{"formula": "FeSi2W", "functional": "PBE", "state": "optimized geometry", "dos_at_fermi_per_ev_fu": 2.55, "e_form_raw_ev_per_atom": 0.005, "lattice_angstrom": [[-1.617, 2.152, 3.794], [1.617, -2.152, 3.794], [1.617, 2.152, -3.794]], "species": ["Fe", "Si", "Si", "W"], "fractional_positions": [[0.000, 0.000, 0.000], [0.238, 0.738, 0.500], [0.762, 0.262, 0.500], [0.500, 0.500, 0.000]]}

---

{"formula": "FeSiW2", "functional": "PBE", "state": "optimized geometry", "dos_at_fermi_per_ev_fu": 1.61, "e_form_raw_ev_per_atom": 0.073, "lattice_angstrom": [[2.778, 0.000, 0.000], [0.000, 2.778, 0.000], [0.000, 0.000, 7.105]], "species": ["Fe", "Si", "W", "W"], "fractional_positions": [[0.000, 0.000, 0.000], [0.000, 0.000, 0.500], [0.500, 0.500, 0.244], [0.500, 0.500, 0.756]]}

---

{"formula": "FeSiW2", "functional": "PBE", "state": "optimized geometry", "dos_at_fermi_per_ev_fu": 2.47, "e_form_raw_ev_per_atom": 0.062, "lattice_angstrom": [[2.726, 0.000, 0.000], [0.000, 3.944, 0.000], [-0.094, 0.000, 5.152]], "species": ["Fe", "Si", "W", "W"], "fractional_positions": [[0.000, 0.000, 0.000], [0.000, 0.000, 0.500], [0.449, 0.500, 0.750], [0.551, 0.500, 0.250]]}

---

{"formula": "FeSiW2", "functional": "PBE", "state": "optimized geometry", "dos_at_fermi_per_ev_fu": 2.91, "e_form_raw_ev_per_atom": 0.106, "lattice_angstrom": [[0.000, 3.026, 3.026], [3.026, 0.000, 3.026], [3.026, 3.026, 0.000]], "species": ["Fe", "Si", "W", "W"], "fractional_positions": [[0.000, 0.000, 0.000], [0.250, 0.250, 0.250], [0.500, 0.500, 0.500], [0.750, 0.750, 0.750]]}

---

{"formula": "FeSiW2", "functional": "PBE", "state": "optimized geometry", "dos_at_fermi_per_ev_fu": 2.08, "e_form_raw_ev_per_atom": -0.035, "lattice_angstrom": [[2.763, 0.000, 0.000], [0.000, 2.763, 0.000], [0.000, 0.000, 7.107]], "species": ["Fe", "Si", "W", "W"], "fractional_positions": [[0.000, 0.000, 0.000], [0.500, 0.500, 0.179], [0.000, 0.000, 0.440], [0.500, 0.500, 0.750]]}

---

{"formula": "FeSiW2", "functional": "PBE", "state": "optimized geometry", "dos_at_fermi_per_ev_fu": 2.93, "e_form_raw_ev_per_atom": 0.019, "lattice_angstrom": [[4.956, -1.401, 0.000], [4.956, 1.401, 0.000], [-1.913, 0.000, 3.930]], "species": ["Fe", "Si", "W", "W"], "fractional_positions": [[0.000, 0.000, 0.000], [0.704, 0.704, 0.208], [0.243, 0.243, 0.747], [0.457, 0.457, 0.457]]}

---

{"formula": "Fe4SiW", "functional": "PBE", "state": "optimized geometry", "dos_at_fermi_per_ev_fu": 5.18, "e_form_raw_ev_per_atom": 0.054, "lattice_angstrom": [[0.000, 3.302, 3.302], [3.302, 0.000, 3.302], [3.302, 3.302, 0.000]], "species": ["Fe", "Fe", "Fe", "Fe", "Si", "W"], "fractional_positions": [[0.125, 0.125, 0.125], [0.125, 0.125, 0.626], [0.125, 0.626, 0.125], [0.626, 0.125, 0.125], [0.750, 0.750, 0.750], [0.500, 0.500, 0.500]]}

---

{"formula": "FeSiW2", "functional": "PBE", "state": "optimized geometry", "dos_at_fermi_per_ev_fu": 3.40, "e_form_raw_ev_per_atom": 0.230, "lattice_angstrom": [[1.392, 0.803, 8.487], [-1.392, 0.803, 8.487], [0.000, -1.607, 8.487]], "species": ["Fe", "Si", "W", "W"], "fractional_positions": [[0.000, 0.000, 0.000], [0.500, 0.500, 0.500], [0.251, 0.251, 0.251], [0.749, 0.749, 0.749]]}

---

{"formula": "FeSiW2", "functional": "PBE", "state": "optimized geometry", "dos_at_fermi_per_ev_fu": 3.94, "e_form_raw_ev_per_atom": 0.110, "lattice_angstrom": [[-1.857, 1.857, 4.058], [1.857, -1.857, 4.058], [1.857, 1.857, -4.058]], "species": ["Fe", "Si", "W", "W"], "fractional_positions": [[0.000, 0.000, 0.000], [0.250, 0.750, 0.500], [0.500, 0.500, 0.000], [0.750, 0.250, 0.500]]}

---

{"formula": "FeSi2W", "functional": "PBE", "state": "optimized geometry", "dos_at_fermi_per_ev_fu": 2.80, "e_form_raw_ev_per_atom": -0.141, "lattice_angstrom": [[4.350, -1.419, 0.000], [4.350, 1.419, 0.000], [-1.341, 0.000, 4.178]], "species": ["Fe", "Si", "Si", "W"], "fractional_positions": [[0.000, 0.000, 0.000], [0.266, 0.266, 0.872], [0.507, 0.507, 0.555], [0.750, 0.750, 0.367]]}

---

{"formula": "FeSi2W", "functional": "PBE", "state": "optimized geometry", "dos_at_fermi_per_ev_fu": 2.81, "e_form_raw_ev_per_atom": -0.039, "lattice_angstrom": [[1.378, 0.796, 7.940], [-1.378, 0.796, 7.940], [0.000, -1.591, 7.940]], "species": ["Fe", "Si", "Si", "W"], "fractional_positions": [[0.000, 0.000, 0.000], [0.260, 0.260, 0.260], [0.740, 0.740, 0.740], [0.500, 0.500, 0.500]]}

---

{"formula": "FeSiW2", "functional": "PBE", "state": "optimized geometry", "dos_at_fermi_per_ev_fu": 2.78, "e_form_raw_ev_per_atom": 0.176, "lattice_angstrom": [[1.387, 0.801, 8.510], [-1.387, 0.801, 8.510], [0.000, -1.602, 8.510]], "species": ["Fe", "Si", "W", "W"], "fractional_positions": [[0.000, 0.000, 0.000], [0.737, 0.737, 0.737], [0.252, 0.252, 0.252], [0.490, 0.490, 0.490]]}

---

{"formula": "FeSi2W", "functional": "PBE", "state": "optimized geometry", "dos_at_fermi_per_ev_fu": 4.05, "e_form_raw_ev_per_atom": 0.258, "lattice_angstrom": [[0.000, 2.984, 2.984], [2.984, 0.000, 2.984], [2.984, 2.984, 0.000]], "species": ["Fe", "Si", "Si", "W"], "fractional_positions": [[0.000, 0.000, 0.000], [0.250, 0.250, 0.250], [0.500, 0.500, 0.500], [0.750, 0.750, 0.750]]}

---

{"formula": "FeSiW2", "functional": "PBE", "state": "optimized geometry", "dos_at_fermi_per_ev_fu": 3.07, "e_form_raw_ev_per_atom": 0.041, "lattice_angstrom": [[1.623, -2.177, 0.000], [1.623, 2.177, 0.000], [0.000, 0.000, 7.984]], "species": ["Fe", "Si", "W", "W"], "fractional_positions": [[0.000, 0.000, 0.000], [0.500, 0.500, 0.210], [0.000, 0.000, 0.464], [0.500, 0.500, 0.746]]}